# Mn2NiAsH GGA-PBE optimized geometry
# Total DFT energy (no corrections) (eV for the cell shown): -32.51
# Mass density (g/cm3): 7.797
data_Mn2NiAsH
_chemical_formula_sum 'Mn2 Ni1 As1 H1'
_space_group_name_H-M_alt 'P 4/m m m'
_space_group_IT_number 123
_space_group_name_Hall '-P 4 2'
_cell_length_a 3.704
_cell_length_b 3.704
_cell_length_c 3.795
_cell_angle_alpha 90.00
_cell_angle_beta 90.00
_cell_angle_gamma 90.00
loop_
_atom_site_label
_atom_site_type_symbol
_atom_site_fract_x
_atom_site_fract_y
_atom_site_fract_z
_atom_site_occupancy
Mn1 Mn 0.000 0.500 0.000 1
Ni1 Ni 0.000 0.000 0.500 1
As1 As 0.500 0.500 0.500 1
H1 H 0.000 0.000 0.000 1